1.
Compound: PRhW2
Source: the Alexandria database
Functional: GGA-PBE
Structure: optimized geometry

a b c (Å): 2.895 3.948 5.151
angles (deg): 90.00 90.00 90.00
Fractional positions:
P1 0.500 0.500 0.000
W1 0.000 0.000 0.239
W2 0.000 0.000 0.761
Rh1 0.500 0.500 0.500

Its total energy is -9.5110 eV/atom. Its space-group type is No. 47. For the density of states at the Fermi level, the calculation gives 0.85 states/eV/atom.

***

2.
Compound: P2RhW
Source: the Alexandria database
Functional: GGA-PBE
Structure: optimized geometry

a b c (Å): 4.188 4.188 3.063
angles (deg): 90.00 90.00 90.00
Fractional positions:
W1 0.000 0.500 0.500
P1 0.000 0.000 0.000
P2 0.500 0.500 0.000
Rh1 0.500 0.000 0.500

Its total energy is -7.9835 eV/atom. Its space-group type is No. 123. For the density of states at the Fermi level, the calculation gives 0.87 states/eV/atom.

***

3.
Compound: PRhW2
Source: the Alexandria database
Functional: GGA-PBE
Structure: optimized geometry

a b c (Å): 4.755 4.755 2.866
angles (deg): 90.00 90.00 114.73
Fractional positions:
P1 0.000 0.000 0.500
Rh1 0.500 0.500 0.500
W1 0.500 0.000 0.000
W2 0.000 0.500 0.000

Its total energy is -9.4731 eV/atom. Its space-group type is No. 65. For the density of states at the Fermi level, the calculation gives 0.80 states/eV/atom.

***

4.
Compound: PRhW2
Source: the Alexandria database
Functional: GGA-PBE
Structure: optimized geometry

a b c (Å): 5.839 5.839 6.367
angles (deg): 62.71 62.71 90.00
Fractional positions:
Rh1 0.750 0.250 0.500
Rh2 0.000 0.000 0.000
P1 0.250 0.750 0.500
P2 0.500 0.500 0.000
W1 0.135 0.625 0.250
W2 0.875 0.865 0.750
W3 0.375 0.385 0.750
W4 0.615 0.125 0.250

Its total energy is -8.7678 eV/atom. Its space-group type is No. 122. For the density of states at the Fermi level, the calculation gives 1.12 states/eV/atom.

***

5.
Compound: P4RhW2
Source: the Alexandria database
Functional: GGA-PBE
Structure: optimized geometry

a b c (Å): 4.577 4.577 6.875
angles (deg): 70.56 70.56 90.00
Fractional positions:
W1 0.395 0.395 0.210
W2 0.605 0.605 0.790
Rh1 0.000 0.000 0.000
P1 0.500 0.000 0.000
P2 0.796 0.796 0.408
P3 0.000 0.500 0.000
P4 0.204 0.204 0.592

Its total energy is -7.0825 eV/atom. Its space-group type is No. 139. For the density of states at the Fermi level, the calculation gives 0.96 states/eV/atom.

***

6.
Compound: PRhW2
Source: the Alexandria database
Functional: GGA-PBE
Structure: optimized geometry

a b c (Å): 3.966 2.792 5.433
angles (deg): 77.15 90.00 90.00
Fractional positions:
W1 0.000 0.913 0.763
W2 0.000 0.087 0.237
P1 0.500 0.500 0.000
Rh1 0.500 0.500 0.500

Its total energy is -9.6591 eV/atom. Its space-group type is No. 10. For the density of states at the Fermi level, the calculation gives 0.56 states/eV/atom.

***

7.
Compound: P2RhW
Source: the Alexandria database
Functional: GGA-PBE
Structure: optimized geometry

a b c (Å): 7.554 7.554 7.554
angles (deg): 22.75 22.75 22.75
Fractional positions:
Rh1 0.250 0.250 0.250
W1 0.750 0.750 0.750
P1 0.000 0.000 0.000
P2 0.500 0.500 0.500

Its total energy is -7.9145 eV/atom. Its space-group type is No. 166. For the density of states at the Fermi level, the calculation gives 0.93 states/eV/atom.

***

8.
Compound: PRhW3
Source: the Alexandria database
Functional: GGA-PBE
Structure: optimized geometry

a b c (Å): 4.702 4.702 4.702
angles (deg): 90.00 90.00 90.00
Fractional positions:
W1 0.000 0.500 0.000
W2 0.500 0.000 0.000
W3 0.000 0.000 0.500
P1 0.500 0.500 0.500
Rh1 0.000 0.000 0.000

Its total energy is -8.1226 eV/atom. For the energy above the most stable polymorph in this dataset, the calculation gives 1274 meV/atom. Its space-group type is No. 221. For the density of states at the Fermi level, the calculation gives 1.22 states/eV/atom.

***

9.
Compound: PRhW2
Source: the Alexandria database
Functional: GGA-PBE
Structure: optimized geometry

a b c (Å): 8.444 8.444 8.444
angles (deg): 19.71 19.71 19.71
Fractional positions:
W1 0.758 0.758 0.758
W2 0.998 0.998 0.998
P1 0.499 0.499 0.499
Rh1 0.245 0.245 0.245

Its total energy is -9.5901 eV/atom. Its space-group type is No. 160. For the density of states at the Fermi level, the calculation gives 1.11 states/eV/atom.

***

10.
Compound: PRhW2
Source: the Alexandria database
Functional: GGA-PBE
Structure: optimized geometry

a b c (Å): 5.175 5.175 4.410
angles (deg): 64.76 64.76 32.99
Fractional positions:
W1 0.786 0.786 0.714
W2 0.994 0.994 0.006
Rh1 0.217 0.217 0.282
P1 0.503 0.503 0.497

Its total energy is -9.8099 eV/atom. Its space-group type is No. 8. For the density of states at the Fermi level, the calculation gives 0.66 states/eV/atom.

***

11.
Compound: PRhW3
Source: the Alexandria database
Functional: GGA-PBE
Structure: optimized geometry

a b c (Å): 4.409 4.409 4.409
angles (deg): 90.00 90.00 90.00
Fractional positions:
W1 0.000 0.000 0.500
W2 0.000 0.500 0.000
W3 0.500 0.000 0.000
P1 0.000 0.000 0.000
Rh1 0.500 0.500 0.500

Its total energy is -9.3965 eV/atom. For the energy above the most stable polymorph in this dataset, the calculation gives 0 meV/atom. Its space-group type is No. 221. For the density of states at the Fermi level, the calculation gives 0.81 states/eV/atom.

***

12.
Compound: PRh2W2
Source: the Alexandria database
Functional: GGA-PBE
Structure: optimized geometry

a b c (Å): 7.174 7.174 7.174
angles (deg): 151.48 151.48 40.77
Fractional positions:
W1 0.250 0.750 0.500
W2 0.750 0.250 0.500
P1 0.000 0.000 0.000
Rh1 0.596 0.596 0.000
Rh2 0.404 0.404 0.000

Its total energy is -8.6993 eV/atom. Its space-group type is No. 139. For the density of states at the Fermi level, the calculation gives 0.59 states/eV/atom.

***

We obtain mass density values of 14.1; 10.8; 14.1; 10.1; 7.8; 14.2; 10.2; 10.9; 13.9; 14.5; 13.3; 12.0 g cm⁻³ for the records listed above, in that order.